## VPb4F10 (PBE with a Hubbard U)

Data for a relaxed structure of VPb4F10.

Values from the calculation:
V (A^3/atom): 16.727
Total magnetic moment (μB per formula unit): 3.0
Symmetry: R-3m (166)
E_tot (eV per cell): -76.28
DOS at the Fermi energy (states/eV per cell): 2.4

Unit cell a=16.918 b=16.918 c=16.918 alpha=14.12 beta=14.12 gamma=14.12
Atoms (fractional coordinates):
V (0.000, 0.000, 0.000)
Pb (0.202, 0.202, 0.202)
Pb (0.394, 0.394, 0.394)
Pb (0.606, 0.606, 0.606)
Pb (0.798, 0.798, 0.798)
F (0.042, 0.042, 0.042)
F (0.150, 0.150, 0.150)
F (0.255, 0.255, 0.255)
F (0.344, 0.344, 0.344)
F (0.447, 0.447, 0.447)
F (0.553, 0.553, 0.553)
F (0.656, 0.656, 0.656)
F (0.745, 0.745, 0.745)
F (0.850, 0.850, 0.850)
F (0.958, 0.958, 0.958)